(1)
Here is a relaxed CeGa9Rh2 crystal from Alexandria. Energies are from PBE-GGA. Values from VASP.

Summary:
Space group: I4_1/amd (141)
Final energy: -4.39 eV per atom
Mass density: 7.79 g/cm³
Magnetic moment: 0.08 μB per atom

Geometry as Quantum ESPRESSO input:
```
&SYSTEM
  ibrav = 0, nat = 24, ntyp = 3
/
ATOMIC_SPECIES
Rh 102.91 Rh.upf
Ga 69.72 Ga.upf
Ce 140.12 Ce.upf
ATOMIC_POSITIONS crystal
Rh 0.875 0.750 0.250
Rh 0.875 0.250 0.250
Rh 0.875 0.250 0.750
Rh 0.375 0.750 0.750
Ga 0.000 0.000 0.000
Ga 0.604 0.326 0.085
Ga 0.015 0.915 0.674
Ga 0.750 0.500 0.500
Ga 0.604 0.085 0.326
Ga 0.680 0.174 0.585
Ga 0.311 0.085 0.674
Ga 0.070 0.326 0.915
Ga 0.735 0.826 0.585
Ga 0.439 0.415 0.826
Ga 0.070 0.915 0.326
Ga 0.311 0.674 0.085
Ga 0.146 0.415 0.174
Ga 0.146 0.174 0.415
Ga 0.015 0.674 0.915
Ga 0.735 0.585 0.826
Ga 0.439 0.826 0.415
Ga 0.680 0.585 0.174
Ce 0.500 0.000 0.000
Ce 0.250 0.500 0.500
CELL_PARAMETERS angstrom
-4.298 -4.597 -4.273
3.875 -6.089 -4.117
-3.081 -6.802 3.646
```

=====

(2)
Here is a relaxed Ce4Ga6Rh7 crystal from Alexandria. Energies are from PBE-GGA. Values from VASP.

Summary:
Space group: Im-3m (229)
Final energy: -6.29 eV per atom
Mass density: 9.21 g/cm³
Magnetic moment: 0.00 μB per atom

Geometry as Quantum ESPRESSO input:
```
&SYSTEM
  ibrav = 0, nat = 17, ntyp = 3
/
ATOMIC_SPECIES
Rh 102.91 Rh.upf
Ce 140.12 Ce.upf
Ga 69.72 Ga.upf
ATOMIC_POSITIONS crystal
Rh 0.750 0.250 0.500
Rh 0.500 0.750 0.250
Rh 0.750 0.500 0.250
Rh 0.500 0.250 0.750
Rh 0.250 0.500 0.750
Rh 0.250 0.750 0.500
Rh 0.000 0.000 0.000
Ce 0.500 0.000 0.000
Ce 0.000 0.000 0.500
Ce 0.000 0.500 0.000
Ce 0.500 0.500 0.500
Ga 0.317 0.317 0.000
Ga 0.000 0.317 0.317
Ga 0.683 0.683 0.000
Ga 0.317 0.000 0.317
Ga 0.000 0.683 0.683
Ga 0.683 0.000 0.683
CELL_PARAMETERS angstrom
-1.379 4.622 -5.555
-2.476 -6.710 -1.721
-3.397 2.385 6.074
```

=====

(3)
Here is a relaxed CeGaRh crystal from Alexandria. Energies are from PBE-GGA. Values from VASP.

Summary:
Space group: F-43m (216)
Final energy: -6.05 eV per atom
Mass density: 7.70 g/cm³
Magnetic moment: 0.21 μB per atom

Geometry as Quantum ESPRESSO input:
```
&SYSTEM
  ibrav = 0, nat = 3, ntyp = 3
/
ATOMIC_SPECIES
Ga 69.72 Ga.upf
Rh 102.91 Rh.upf
Ce 140.12 Ce.upf
ATOMIC_POSITIONS crystal
Ga 0.000 0.000 0.000
Rh 0.250 0.250 0.250
Ce 0.500 0.500 0.500
CELL_PARAMETERS angstrom
-3.076 -0.343 -3.360
-3.505 -2.903 0.399
-4.235 1.601 0.608
```